Record 1
VASP calculation (GGA-PBE) on an optimized crystal structure of TbNdEr2As4.

Results
Formation enthalpy at 0 K   -1.5156 eV/atom
M_tot   0.0 μB/f.u.
D(E_F)   0.91 states/eV/f.u.
Calculated total energy   -6.16 eV per atom

Cell lengths 7.176, 4.148, 7.180 Å; angles 90.00, 109.48, 90.00 degrees
Sites, in units of the cell vectors:
Tb: 0.000 0.000 0.000
Nd: 0.000 0.500 0.500
Er: 0.500 0.000 0.500
Er: 0.500 0.500 0.000
As: 0.256 0.500 0.248
As: 0.259 0.000 0.757
As: 0.741 0.000 0.243
As: 0.744 0.500 0.752

Record 2
VASP calculation (GGA-PBE) on an optimized crystal structure of Tb3Nd2ErAs6.

Results
Formation enthalpy at 0 K   -1.5193 eV/atom
M_tot   0.0 μB/f.u.
D(E_F)   1.76 states/eV/f.u.
Calculated total energy   -6.18 eV per atom

Cell lengths 9.335, 9.335, 8.349 Å; angles 102.93, 102.93, 25.86 degrees
Sites, in units of the cell vectors:
Tb: 0.000 0.000 0.000
Tb: 0.333 0.333 0.666
Tb: 0.667 0.667 0.334
Nd: 0.334 0.334 0.168
Nd: 0.666 0.666 0.832
Er: 0.000 0.000 0.500
As: 0.165 0.165 0.088
As: 0.165 0.165 0.577
As: 0.498 0.498 0.746
As: 0.502 0.502 0.254
As: 0.835 0.835 0.423
As: 0.835 0.835 0.912

Record 3
VASP calculation (GGA-PBE) on an optimized crystal structure of Nd3ErTh2As6.

Results
Formation enthalpy at 0 K   -1.4896 eV/atom
M_tot   0.0 μB/f.u.
D(E_F)   4.13 states/eV/f.u.
Calculated total energy   -6.62 eV per atom

Cell lengths 9.483, 9.483, 8.471 Å; angles 103.11, 103.11, 25.85 degrees
Sites, in units of the cell vectors:
Nd: 0.000 0.000 0.000
Nd: 0.334 0.334 0.666
Nd: 0.666 0.666 0.334
Er: 0.000 0.000 0.500
Th: 0.335 0.335 0.170
Th: 0.665 0.665 0.830
As: 0.163 0.163 0.583
As: 0.168 0.168 0.081
As: 0.500 0.500 0.258
As: 0.500 0.500 0.742
As: 0.832 0.832 0.919
As: 0.837 0.837 0.417

Record 4
VASP calculation (GGA-PBE) on an optimized crystal structure of Nd2ErThAs4.

Results
Formation enthalpy at 0 K   -1.5018 eV/atom
M_tot   0.0 μB/f.u.
D(E_F)   1.50 states/eV/f.u.
Calculated total energy   -6.52 eV per atom

Cell lengths 7.294, 4.228, 7.327 Å; angles 90.00, 109.44, 90.00 degrees
Sites, in units of the cell vectors:
Nd: 0.000 0.000 0.000
Nd: 0.500 0.500 0.000
Er: 0.000 0.500 0.500
Th: 0.500 0.000 0.500
As: 0.243 0.000 0.741
As: 0.248 0.500 0.256
As: 0.752 0.500 0.744
As: 0.757 0.000 0.259

Record 5
VASP calculation (GGA-PBE) on an optimized crystal structure of NdErTh2As4.

Results
Formation enthalpy at 0 K   -1.4562 eV/atom
M_tot   0.0 μB/f.u.
D(E_F)   3.98 states/eV/f.u.
Calculated total energy   -6.80 eV per atom

Cell lengths 7.276, 4.228, 7.324 Å; angles 90.00, 109.65, 90.00 degrees
Sites, in units of the cell vectors:
Nd: 0.000 0.000 0.000
Er: 0.000 0.500 0.500
Th: 0.500 0.000 0.500
Th: 0.500 0.500 0.000
As: 0.244 0.000 0.743
As: 0.248 0.500 0.255
As: 0.752 0.500 0.745
As: 0.756 0.000 0.257

Record 6
VASP calculation (GGA-PBE) on an optimized crystal structure of NdEr2ThAs4.

Results
Formation enthalpy at 0 K   -1.4999 eV/atom
M_tot   0.0 μB/f.u.
D(E_F)   1.53 states/eV/f.u.
Calculated total energy   -6.49 eV per atom

Cell lengths 7.204, 4.182, 7.237 Å; angles 90.00, 109.50, 90.00 degrees
Sites, in units of the cell vectors:
Nd: 0.000 0.000 0.000
Er: 0.500 0.000 0.500
Er: 0.500 0.500 0.000
Th: 0.000 0.500 0.500
As: 0.260 0.000 0.752
As: 0.261 0.500 0.255
As: 0.739 0.500 0.745
As: 0.740 0.000 0.248

Record 7
VASP calculation (GGA-PBE) on an optimized crystal structure of Nd2ErTh3As6.

Results
Formation enthalpy at 0 K   -1.4628 eV/atom
M_tot   0.0 μB/f.u.
D(E_F)   5.39 states/eV/f.u.
Calculated total energy   -6.82 eV per atom

Cell lengths 9.462, 9.462, 8.447 Å; angles 102.70, 102.70, 25.90 degrees
Sites, in units of the cell vectors:
Nd: 0.166 0.166 0.333
Nd: 0.834 0.834 0.667
Er: 0.500 0.500 0.000
Th: 0.168 0.168 0.834
Th: 0.500 0.500 0.500
Th: 0.832 0.832 0.166
As: 0.001 0.001 0.757
As: 0.334 0.334 0.415
As: 0.336 0.336 0.920
As: 0.664 0.664 0.080
As: 0.666 0.666 0.585
As: 0.999 0.999 0.243

Record 8
VASP calculation (GGA-PBE) on an optimized crystal structure of Nd2ErTm3As6.

Results
Formation enthalpy at 0 K   -1.4973 eV/atom
M_tot   0.0 μB/f.u.
D(E_F)   1.79 states/eV/f.u.
Calculated total energy   -6.11 eV per atom

Cell lengths 9.250, 9.250, 8.273 Å; angles 102.87, 102.87, 25.87 degrees
Sites, in units of the cell vectors:
Nd: 0.166 0.166 0.332
Nd: 0.834 0.834 0.668
Er: 0.500 0.500 0.000
Tm: 0.167 0.167 0.834
Tm: 0.500 0.500 0.500
Tm: 0.833 0.833 0.166
As: 0.003 0.003 0.751
As: 0.334 0.334 0.926
As: 0.336 0.336 0.409
As: 0.664 0.664 0.591
As: 0.666 0.666 0.074
As: 0.997 0.997 0.249

Record 9
VASP calculation (GGA-PBE) on an optimized crystal structure of NdErTm2As4.

Results
Formation enthalpy at 0 K   -1.4987 eV/atom
M_tot   0.0 μB/f.u.
D(E_F)   0.95 states/eV/f.u.
Calculated total energy   -6.11 eV per atom

Cell lengths 7.137, 4.125, 7.139 Å; angles 90.00, 109.48, 90.00 degrees
Sites, in units of the cell vectors:
Nd: 0.000 0.000 0.000
Er: 0.000 0.500 0.500
Tm: 0.500 0.000 0.500
Tm: 0.500 0.500 0.000
As: 0.255 0.000 0.747
As: 0.259 0.500 0.258
As: 0.741 0.500 0.742
As: 0.745 0.000 0.253

Record 10
VASP calculation (GGA-PBE) on an optimized crystal structure of Nd2ErTmAs4.

Results
Formation enthalpy at 0 K   -1.5032 eV/atom
M_tot   0.0 μB/f.u.
D(E_F)   0.90 states/eV/f.u.
Calculated total energy   -6.15 eV per atom

Cell lengths 7.222, 4.178, 7.232 Å; angles 90.00, 109.49, 90.00 degrees
Sites, in units of the cell vectors:
Nd: 0.000 0.000 0.000
Nd: 0.000 0.500 0.500
Er: 0.500 0.000 0.500
Tm: 0.500 0.500 0.000
As: 0.262 0.500 0.254
As: 0.263 0.000 0.755
As: 0.737 0.000 0.245
As: 0.738 0.500 0.746

Record 11
VASP calculation (GGA-PBE) on an optimized crystal structure of Nd3ErTm2As6.

Results
Formation enthalpy at 0 K   -1.5012 eV/atom
M_tot   0.0 μB/f.u.
D(E_F)   1.87 states/eV/f.u.
Calculated total energy   -6.14 eV per atom

Cell lengths 7.231, 7.231, 7.219 Å; angles 99.60, 99.60, 119.99 degrees
Sites, in units of the cell vectors:
Nd: 0.000 0.000 0.000
Nd: 0.333 0.667 0.000
Nd: 0.667 0.333 0.000
Er: 0.500 0.500 0.500
Tm: 0.167 0.833 0.500
Tm: 0.833 0.167 0.500
As: 0.087 0.421 0.262
As: 0.245 0.245 0.737
As: 0.421 0.087 0.262
As: 0.579 0.913 0.738
As: 0.755 0.755 0.263
As: 0.913 0.579 0.738

Record 12
VASP calculation (GGA-PBE) on an optimized crystal structure of Nd2Er3TmAs6.

Results
Formation enthalpy at 0 K   -1.5021 eV/atom
M_tot   0.0 μB/f.u.
D(E_F)   1.78 states/eV/f.u.
Calculated total energy   -6.13 eV per atom

Cell lengths 9.266, 9.266, 8.288 Å; angles 102.91, 102.91, 25.86 degrees
Sites, in units of the cell vectors:
Nd: 0.166 0.166 0.332
Nd: 0.834 0.834 0.668
Er: 0.167 0.167 0.834
Er: 0.500 0.500 0.500
Er: 0.833 0.833 0.166
Tm: 0.500 0.500 0.000
As: 0.003 0.003 0.753
As: 0.334 0.334 0.925
As: 0.336 0.336 0.410
As: 0.664 0.664 0.590
As: 0.666 0.666 0.075
As: 0.997 0.997 0.247